Entry 1:
A geometry-optimized LaZrAu structure, computed with PBE.

Properties
E (eV per cell): -36.2
DFT formation energy (eV/atom): -0.4443

CIF file:
```
data_LaZrAu
_cell_length_a 3.597
_cell_length_b 5.008
_cell_length_c 8.642
_cell_angle_alpha 90.00
_cell_angle_beta 101.95
_cell_angle_gamma 90.00
_space_group_name_H-M_alt 'P 1 21/m 1'
_space_group_IT_number 11
loop_
_space_group_symop_operation_xyz
'x,y,z'
'-x,-y,-z'
'-x,y+1/2,-z'
'x,-y+1/2,z'
loop_
_atom_site_label
_atom_site_type_symbol
_atom_site_fract_x
_atom_site_fract_y
_atom_site_fract_z
_atom_site_occupancy
La1 La 0.075 0.250 0.147 1
Zr1 Zr 0.244 0.750 0.487 1
Au1 Au 0.388 0.250 0.777 1
```

Entry 2:
A geometry-optimized LaZrAu2 structure, computed with PBE.

Properties
E (eV per cell): -37.5
DFT formation energy (eV/atom): 0.3225

CIF file:
```
data_LaZrAu2
_cell_length_a 3.099
_cell_length_b 5.283
_cell_length_c 12.129
_cell_angle_alpha 90.00
_cell_angle_beta 90.00
_cell_angle_gamma 90.00
_space_group_name_H-M_alt 'I m m m'
_space_group_IT_number 71
_space_group_name_Hall '-I 2 2'
loop_
_atom_site_label
_atom_site_type_symbol
_atom_site_fract_x
_atom_site_fract_y
_atom_site_fract_z
_atom_site_occupancy
La1 La 0.000 0.000 0.000 1
Zr1 Zr 0.000 0.000 0.500 1
Au1 Au 0.000 0.000 0.276 1
```

Entry 3:
A geometry-optimized LaZrAu structure, computed with PBE.

Properties
E (eV per cell): -70.6
DFT formation energy (eV/atom): -0.2953

CIF file:
```
data_LaZrAu
_cell_length_a 18.446
_cell_length_b 3.574
_cell_length_c 4.892
_cell_angle_alpha 90.00
_cell_angle_beta 104.78
_cell_angle_gamma 90.00
_space_group_name_H-M_alt 'C 1 m 1'
_space_group_IT_number 8
loop_
_space_group_symop_operation_xyz
'x,y,z'
'x,-y,z'
'x+1/2,y+1/2,z'
'x+1/2,-y+1/2,z'
loop_
_atom_site_label
_atom_site_type_symbol
_atom_site_fract_x
_atom_site_fract_y
_atom_site_fract_z
_atom_site_occupancy
La1 La 0.000 0.000 0.000 1
La2 La 0.197 0.500 0.210 1
Zr1 Zr 0.324 0.500 0.832 1
Zr2 Zr 0.386 0.000 0.392 1
Au1 Au 0.052 0.500 0.552 1
Au2 Au 0.185 0.000 0.700 1
```

Entry 4:
A geometry-optimized LaZrAu structure, computed with PBE.

Properties
E (eV per cell): -36.1
DFT formation energy (eV/atom): -0.4384

CIF file:
```
data_LaZrAu
_cell_length_a 3.713
_cell_length_b 4.877
_cell_length_c 8.635
_cell_angle_alpha 90.00
_cell_angle_beta 90.31
_cell_angle_gamma 90.00
_space_group_name_H-M_alt 'P 1 21/m 1'
_space_group_IT_number 11
loop_
_space_group_symop_operation_xyz
'x,y,z'
'-x,-y,-z'
'-x,y+1/2,-z'
'x,-y+1/2,z'
loop_
_atom_site_label
_atom_site_type_symbol
_atom_site_fract_x
_atom_site_fract_y
_atom_site_fract_z
_atom_site_occupancy
La1 La 0.247 0.250 0.154 1
Zr1 Zr 0.250 0.750 0.491 1
Au1 Au 0.253 0.250 0.765 1
```

Entry 5:
A geometry-optimized LaZrAu2 structure, computed with PBE.

Properties
E (eV per cell): -22.2
DFT formation energy (eV/atom): -0.5421

CIF file:
```
data_LaZrAu2
_cell_length_a 3.715
_cell_length_b 4.735
_cell_length_c 5.622
_cell_angle_alpha 90.00
_cell_angle_beta 102.81
_cell_angle_gamma 90.00
_space_group_name_H-M_alt 'P 1 m 1'
_space_group_IT_number 6
loop_
_space_group_symop_operation_xyz
'x,y,z'
'x,-y,z'
loop_
_atom_site_label
_atom_site_type_symbol
_atom_site_fract_x
_atom_site_fract_y
_atom_site_fract_z
_atom_site_occupancy
La1 La 0.000 0.000 0.000 1
Zr1 Zr 0.733 0.500 0.426 1
Au1 Au 0.356 0.000 0.529 1
Au2 Au 0.446 0.500 0.874 1
```

Entry 6:
A geometry-optimized LaZrAu structure, computed with PBE.

Properties
E (eV per cell): -71.0
DFT formation energy (eV/atom): -0.3338

CIF file:
```
data_LaZrAu
_cell_length_a 11.001
_cell_length_b 3.531
_cell_length_c 8.253
_cell_angle_alpha 90.00
_cell_angle_beta 97.55
_cell_angle_gamma 90.00
_space_group_name_H-M_alt 'C 1 m 1'
_space_group_IT_number 8
loop_
_space_group_symop_operation_xyz
'x,y,z'
'x,-y,z'
'x+1/2,y+1/2,z'
'x+1/2,-y+1/2,z'
loop_
_atom_site_label
_atom_site_type_symbol
_atom_site_fract_x
_atom_site_fract_y
_atom_site_fract_z
_atom_site_occupancy
La1 La 0.000 0.000 0.000 1
La2 La 0.229 0.000 0.693 1
Zr1 Zr 0.098 0.500 0.358 1
Zr2 Zr 0.319 0.000 0.294 1
Au1 Au 0.228 0.500 0.025 1
Au2 Au 0.440 0.500 0.546 1
```

> Which value of E does entry 5 give?

-22.2 eV per cell